A plane-wave DFT calculation with PBE-GGA was carried out for a geometry-optimized Y6Ho2Th3Sc structure.

abc: 6.1560 6.1560 11.6875
angles: 95.07 95.07 119.99
Last column: nearest neighbours and their distance in Å.
Sites, in units of the cell vectors:
Y: 0.5863 0.9173 0.7494  3 Th 3.52-3.53, 1 Sc 3.53, 6 Y 3.53-3.57, 2 Ho 3.54-3.55
Th: 0.5000 0.5000 0.5000  6 Y 3.52-3.53, 6 Th 3.55-3.56
Sc: 0.0000 0.0000 0.0000  6 Y 3.53-3.54, 6 Ho 3.55-3.56
Y: 0.4137 0.0827 0.2506  3 Th 3.52-3.53, 1 Sc 3.53, 6 Y 3.53-3.57, 2 Ho 3.54-3.55
Ho: 0.3337 0.6663 0.0000  6 Y 3.54-3.55, 3 Ho 3.55-3.56, 3 Sc 3.55-3.56
Y: 0.2484 0.2484 0.7490  3 Th 3.52-3.53, 6 Y 3.53-3.57, 1 Sc 3.54, 2 Ho 3.54
Y: 0.7516 0.7516 0.2510  3 Th 3.52-3.53, 6 Y 3.53-3.57, 1 Sc 3.54, 2 Ho 3.54
Ho: 0.6663 0.3337 0.0000  6 Y 3.54-3.55, 3 Ho 3.55-3.56, 3 Sc 3.55-3.56
Th: 0.1671 0.8329 0.5000  6 Y 3.52-3.53, 6 Th 3.55-3.56
Y: 0.0827 0.4137 0.2506  3 Th 3.52-3.53, 1 Sc 3.53, 6 Y 3.53-3.57, 2 Ho 3.54-3.55
Y: 0.9173 0.5863 0.7494  3 Th 3.52-3.53, 1 Sc 3.53, 6 Y 3.53-3.57, 2 Ho 3.54-3.55
Th: 0.8329 0.1671 0.5000  6 Y 3.52-3.53, 6 Th 3.55-3.56

Computed properties:
calculated density	7056	kg/m3
DFT formation energy	40	meV/atom
space-group type	C2/m (12)

A plane-wave DFT calculation with PBE-GGA was carried out for a geometry-optimized Dy2Tm4Th5 structure.

abc: 3.5144 9.3959 13.5410
angles: 108.79 59.24 112.31
Last column: nearest neighbours and their distance in Å.
Sites, in units of the cell vectors:
Dy: 0.2849 0.0811 0.6450  3 Dy 3.44-3.51, 3 Th 3.50-3.64, 6 Tm 3.52-3.63
Tm: 0.3218 0.1472 0.9116  3 Tm 3.51-3.53, 2 Dy 3.52-3.54, 7 Th 3.53-3.57
Dy: 0.7151 0.9189 0.3550  3 Dy 3.44-3.51, 3 Th 3.50-3.64, 6 Tm 3.52-3.63
Th: 0.6406 0.7914 0.8218  1 Dy 3.50, 6 Tm 3.50-3.57, 5 Th 3.50-3.52
Th: 0.9602 0.4436 0.7346  3 Tm 3.43-3.55, 6 Th 3.50-3.53, 2 Dy 3.58-3.64
Th: 0.3594 0.2086 0.1782  1 Dy 3.50, 6 Tm 3.50-3.57, 5 Th 3.50-3.52
Tm: 0.4104 0.2765 0.4418  4 Th 3.43-3.50, 2 Tm 3.51, 4 Dy 3.54-3.63
Tm: 0.6782 0.8528 0.0884  3 Tm 3.51-3.53, 2 Dy 3.52-3.54, 7 Th 3.53-3.57
Th: 0.0000 0.5000 0.0000  8 Th 3.51-3.53, 4 Tm 3.53-3.55
Th: 0.0398 0.5564 0.2654  3 Tm 3.43-3.55, 6 Th 3.50-3.53, 2 Dy 3.58-3.64
Tm: 0.5896 0.7235 0.5582  4 Th 3.43-3.50, 2 Tm 3.51, 4 Dy 3.54-3.63

Computed properties:
calculated density	10228	kg/m3
DFT formation energy	85	meV/atom
space-group type	P-1 (2)

A plane-wave DFT calculation with PBE-GGA was carried out for a geometry-optimized HoErTlZn structure.

abc: 3.6433 3.6433 7.3724
angles: 90.00 90.00 90.00
Last column: nearest neighbours and their distance in Å.
Sites, in units of the cell vectors:
Er: 0.0000 0.0000 0.3784  4 Zn 3.07, 4 Tl 3.25, 1 Ho 3.37
Tl: 0.5000 0.5000 0.1086  4 Er 3.25, 4 Ho 3.27, 4 Tl 3.64
Zn: 0.5000 0.5000 0.6051  4 Er 3.07, 4 Ho 3.09
Ho: 0.0000 0.0000 0.8359  4 Zn 3.09, 4 Tl 3.27, 1 Er 3.37

Computed properties:
calculated density	10215	kg/m3
DFT formation energy	-343	meV/atom
space-group type	P4mm (99)